Below is LaTbPm2Bi5 after structural relaxation, with properties calculated at the GGA-PBE level.

Computed properties:
crystal system = tetragonal

abc: 5.438 5.438 12.193
angles: 90.00 90.00 90.00
Element x y z (fractional)
La: 0.000 0.000 0.000
Tb: 0.000 0.000 0.500
Pm: 0.500 0.500 0.270
Pm: 0.500 0.500 0.730
Bi: 0.000 0.500 0.500
Bi: 0.500 0.000 0.500
Bi: 0.000 0.000 0.749
Bi: 0.000 0.000 0.251
Bi: 0.500 0.500 0.000

=====

Below is LaPmBiTe after structural relaxation, with properties calculated at the GGA-PBE level.

Computed properties:
crystal system = cubic
E_form (uncorrected) = -1063 meV per atom

abc: 5.596 5.596 5.596
angles: 60.00 60.00 60.00
Each line ends with the local moment (μB).
Element x y z (fractional)
La: 0.500 0.500 0.500  0.14
Te: 0.250 0.250 0.250  -0.01
Bi: 0.750 0.750 0.750  -0.01
Pm: 0.000 0.000 0.000  0.20

=====

Below is LaPm2ThBi4 after structural relaxation, with properties calculated at the GGA-PBE level.

Computed properties:
crystal system = tetragonal

abc: 6.527 6.527 7.990
angles: 114.11 114.11 90.00
Element x y z (fractional)
La: 0.500 0.500 0.000
Pm: 0.250 0.750 0.500
Pm: 0.000 0.000 0.000
Th: 0.750 0.250 0.500
Bi: 0.999 0.499 0.998
Bi: 0.501 0.001 0.002
Bi: 0.752 0.752 0.504
Bi: 0.248 0.248 0.496

=====

Below is La2PmThBi5 after structural relaxation, with properties calculated at the GGA-PBE level.

Computed properties:
crystal system = tetragonal

abc: 5.753 5.753 12.069
angles: 90.00 90.00 90.00
Element x y z (fractional)
La: 0.500 0.500 0.281
La: 0.500 0.500 0.719
Pm: 0.000 0.000 0.000
Th: 0.000 0.000 0.500
Bi: 0.000 0.500 0.500
Bi: 0.500 0.000 0.500
Bi: 0.000 0.000 0.755
Bi: 0.000 0.000 0.245
Bi: 0.500 0.500 0.000

=====

Below is LaPmTh2Bi5 after structural relaxation, with properties calculated at the GGA-PBE level.

Computed properties:
crystal system = tetragonal

abc: 5.514 5.514 12.021
angles: 90.00 90.00 90.00
Element x y z (fractional)
La: 0.000 0.000 0.000
Pm: 0.000 0.000 0.500
Th: 0.500 0.500 0.306
Th: 0.500 0.500 0.694
Bi: 0.000 0.500 0.500
Bi: 0.500 0.000 0.500
Bi: 0.000 0.000 0.749
Bi: 0.000 0.000 0.251
Bi: 0.500 0.500 0.000

=====

Below is LaPmTlBi after structural relaxation, with properties calculated at the GGA-PBE level.

Computed properties:
crystal system = cubic

abc: 5.614 5.614 5.614
angles: 60.00 60.00 60.00
Element x y z (fractional)
Tl: 0.750 0.750 0.750
La: 0.000 0.000 0.000
Bi: 0.250 0.250 0.250
Pm: 0.500 0.500 0.500

=====

Below is LaPmZnBi after structural relaxation, with properties calculated at the GGA-PBE level.

Computed properties:
crystal system = cubic

abc: 5.471 5.471 5.471
angles: 60.00 60.00 60.00
Element x y z (fractional)
Zn: 0.000 0.000 0.000
La: 0.750 0.750 0.750
Bi: 0.500 0.500 0.500
Pm: 0.250 0.250 0.250

=====

Below is La5Pr3Bi8 after structural relaxation, with properties calculated at the GGA-PBE level.

Computed properties:
crystal system = trigonal

abc: 9.364 9.364 9.364
angles: 60.00 60.00 60.00
Element x y z (fractional)
La: 0.500 0.000 0.000
La: 0.500 0.500 0.000
La: 0.000 0.000 0.000
La: 0.000 0.500 0.000
La: 0.500 0.500 0.500
Pr: 0.500 0.000 0.500
Pr: 0.000 0.000 0.500
Pr: 0.000 0.500 0.500
Bi: 0.250 0.250 0.748
Bi: 0.250 0.752 0.748
Bi: 0.752 0.250 0.748
Bi: 0.751 0.751 0.748
Bi: 0.750 0.750 0.252
Bi: 0.750 0.248 0.252
Bi: 0.248 0.750 0.252
Bi: 0.249 0.249 0.252

=====

Below is La3PrBi2 after structural relaxation, with properties calculated at the GGA-PBE level.

Computed properties:
energy above the lowest structure with this stoichiometry = 203.7 meV per atom
crystal system = orthorhombic

abc: 7.414 8.158 9.468
angles: 115.52 113.05 90.00
Each line ends with the local moment (μB).
Element x y z (fractional)
La: 0.500 0.250 0.000  0.01
La: 0.500 0.750 0.000  0.01
La: 0.800 0.050 0.599  0.06
La: 0.200 0.450 0.401  0.06
La: 0.200 0.950 0.401  0.06
La: 0.800 0.550 0.599  0.06
Pr: 0.000 0.500 0.000  0.17
Pr: 0.000 0.000 0.000  0.17
Bi: 0.516 0.352 0.704  0.00
Bi: 0.812 0.148 0.296  0.00
Bi: 0.188 0.852 0.704  0.00
Bi: 0.484 0.648 0.296  0.00

=====

Below is LaPrBi after structural relaxation, with properties calculated at the GGA-PBE level.

Computed properties:
crystal system = tetragonal

abc: 4.321 4.321 6.053
angles: 110.91 110.91 90.00
Element x y z (fractional)
Pr: 0.268 0.268 0.536
Bi: 0.619 0.619 0.237
La: 0.963 0.963 0.926

=====

Below is La5Pr2Bi5 after structural relaxation, with properties calculated at the GGA-PBE level.

Computed properties:
crystal system = monoclinic

abc: 4.619 7.994 13.499
angles: 109.01 90.00 106.79
Element x y z (fractional)
La: 0.500 0.000 0.500
La: 0.661 0.322 0.040
La: 0.723 0.446 0.341
La: 0.277 0.554 0.659
La: 0.339 0.678 0.960
Pr: 0.040 0.080 0.785
Pr: 0.960 0.920 0.215
Bi: 0.122 0.243 0.433
Bi: 0.691 0.382 0.791
Bi: 0.309 0.618 0.209
Bi: 0.878 0.757 0.567
Bi: 0.000 0.000 0.000

=====

Below is LaPrBi2 after structural relaxation, with properties calculated at the GGA-PBE level.

Computed properties:
energy above the lowest structure with this stoichiometry = 113.7 meV per atom
crystal system = trigonal

abc: 4.630 4.630 8.399
angles: 74.00 74.00 60.00
Element x y z (fractional)
La: 0.669 0.669 0.993
Pr: 0.498 0.498 0.506
Bi: 0.083 0.083 0.751
Bi: 0.250 0.250 0.249

=====

Below is La5PrBi6 after structural relaxation, with properties calculated at the GGA-PBE level.

Computed properties:
crystal system = monoclinic

abc: 8.131 8.133 8.131
angles: 59.99 80.40 70.52
Element x y z (fractional)
La: 0.500 0.167 0.666
La: 0.000 0.333 0.333
La: 0.500 0.500 0.000
La: 0.000 0.667 0.667
La: 0.500 0.833 0.334
Pr: 0.000 0.000 0.000
Bi: 0.751 0.083 0.332
Bi: 0.249 0.585 0.332
Bi: 0.249 0.249 0.000
Bi: 0.751 0.751 0.000
Bi: 0.751 0.415 0.668
Bi: 0.249 0.917 0.668

=====

Below is LaPr3Bi3 after structural relaxation, with properties calculated at the GGA-PBE level.

Computed properties:
energy above the lowest structure with this stoichiometry = 106.9 meV per atom
crystal system = trigonal

abc: 9.603 9.603 8.536
angles: 55.77 55.77 60.00
Element x y z (fractional)
La: 0.334 0.334 0.999
La: 0.666 0.666 0.001
Pr: 0.349 0.819 0.742
Pr: 0.819 0.090 0.742
Pr: 0.090 0.349 0.742
Pr: 0.910 0.651 0.258
Pr: 0.181 0.910 0.258
Pr: 0.651 0.181 0.258
Bi: 0.299 0.535 0.242
Bi: 0.923 0.299 0.242
Bi: 0.535 0.923 0.242
Bi: 0.465 0.077 0.758
Bi: 0.077 0.701 0.758
Bi: 0.701 0.465 0.758

=====

Below is La4PrBi2 after structural relaxation, with properties calculated at the GGA-PBE level.

Computed properties:
crystal system = tetragonal

abc: 5.567 5.567 9.520
angles: 107.00 107.00 90.00
Each line ends with the local moment (μB).
Element x y z (fractional)
La: 0.822 0.822 0.645  0.11
La: 0.178 0.178 0.355  0.11
La: 0.000 0.500 0.000  0.06
La: 0.500 0.000 0.000  0.06
Pr: 0.000 0.000 0.000  0.26
Bi: 0.635 0.635 0.270  0.00
Bi: 0.365 0.365 0.730  0.00

=====

Below is LaPr3Bi3 after structural relaxation, with properties calculated at the GGA-PBE level.

Computed properties:
energy above the lowest structure with this stoichiometry = 0.0 meV per atom
crystal system = cubic

abc: 9.800 9.800 9.800
angles: 90.00 90.00 90.00
Element x y z (fractional)
La: 0.071 0.571 0.929
La: 0.929 0.071 0.571
La: 0.429 0.429 0.429
La: 0.571 0.929 0.071
Pr: 0.820 0.320 0.180
Pr: 0.928 0.928 0.928
Pr: 0.821 0.679 0.321
Pr: 0.180 0.820 0.320
Pr: 0.179 0.179 0.179
Pr: 0.321 0.821 0.679
Pr: 0.072 0.428 0.572
Pr: 0.320 0.180 0.820
Pr: 0.679 0.321 0.821
Pr: 0.680 0.680 0.680
Pr: 0.572 0.072 0.428
Pr: 0.428 0.572 0.072
Bi: 0.749 0.623 0.000
Bi: 0.877 0.000 0.249
Bi: 0.000 0.749 0.623
Bi: 0.123 0.500 0.251
Bi: 0.251 0.123 0.500
Bi: 0.249 0.877 0.000
Bi: 0.000 0.249 0.877
Bi: 0.377 0.500 0.751
Bi: 0.500 0.251 0.123
Bi: 0.623 0.000 0.749
Bi: 0.751 0.377 0.500
Bi: 0.500 0.751 0.377

=====

Below is La2PrBi after structural relaxation, with properties calculated at the GGA-PBE level.

Computed properties:
energy above the lowest structure with this stoichiometry = 67.7 meV per atom
crystal system = tetragonal

abc: 4.357 4.357 7.252
angles: 90.00 90.00 90.00
Element x y z (fractional)
Pr: 0.500 0.500 0.000
Bi: 0.500 0.500 0.500
La: 0.000 0.000 0.718
La: 0.000 0.000 0.282

=====

Below is LaPrBi2 after structural relaxation, with properties calculated at the GGA-PBE level.

Computed properties:
energy above the lowest structure with this stoichiometry = 46.9 meV per atom
crystal system = hexagonal

abc: 4.645 4.645 15.491
angles: 90.00 90.00 120.00
Element x y z (fractional)
La: 0.667 0.333 0.250
La: 0.333 0.667 0.750
Pr: 0.000 0.000 0.500
Pr: 0.000 0.000 0.000
Bi: 0.333 0.667 0.378
Bi: 0.667 0.333 0.878
Bi: 0.667 0.333 0.622
Bi: 0.333 0.667 0.122

=====

Below is La3PrBi2 after structural relaxation, with properties calculated at the GGA-PBE level.

Computed properties:
energy above the lowest structure with this stoichiometry = 0.0 meV per atom
crystal system = tetragonal

abc: 4.742 4.742 9.236
angles: 90.00 90.00 90.00
Element x y z (fractional)
La: 0.500 0.000 0.355
La: 0.000 0.500 0.645
La: 0.000 0.000 0.000
Pr: 0.500 0.500 0.000
Bi: 0.500 0.000 0.721
Bi: 0.000 0.500 0.279

=====

Below is La4PrBi3 after structural relaxation, with properties calculated at the GGA-PBE level.

Computed properties:
crystal system = orthorhombic

abc: 4.232 9.128 8.989
angles: 120.51 103.60 90.00
Each line ends with the local moment (μB).
Element x y z (fractional)
La: 0.368 0.577 0.736  0.21
La: 0.632 0.423 0.264  0.21
La: 0.632 0.841 0.264  0.21
La: 0.368 0.159 0.736  0.21
Pr: 0.500 0.000 0.000  0.46
Bi: 0.000 0.500 0.000  0.00
Bi: 0.179 0.179 0.359  -0.02
Bi: 0.821 0.821 0.641  -0.02

=====

Below is La2PrBi after structural relaxation, with properties calculated at the GGA-PBE level.

Computed properties:
energy above the lowest structure with this stoichiometry = 212.7 meV per atom
crystal system = trigonal

abc: 4.225 4.225 10.262
angles: 78.14 78.14 60.01
Element x y z (fractional)
La: 0.071 0.071 0.787
La: 0.262 0.262 0.213
Pr: 0.500 0.500 0.500
Bi: 0.667 0.667 0.000

=====

Below is LaPrBi2 after structural relaxation, with properties calculated at the GGA-PBE level.

Computed properties:
energy above the lowest structure with this stoichiometry = 0.0 meV per atom
crystal system = trigonal

abc: 4.676 4.676 8.087
angles: 73.18 73.18 60.04
Element x y z (fractional)
La: 0.500 0.500 0.500
Pr: 0.000 0.000 0.000
Bi: 0.749 0.749 0.752
Bi: 0.251 0.251 0.248

=====

Below is LaPr3Bi4 after structural relaxation, with properties calculated at the GGA-PBE level.

Computed properties:
energy above the lowest structure with this stoichiometry = 3.6 meV per atom
crystal system = orthorhombic

abc: 4.662 8.065 8.065
angles: 109.46 90.00 90.00
Element x y z (fractional)
La: 0.500 0.000 0.000
Pr: 0.000 0.000 0.500
Pr: 0.500 0.500 0.500
Pr: 0.000 0.500 0.000
Bi: 0.000 0.251 0.251
Bi: 0.500 0.749 0.251
Bi: 0.000 0.749 0.749
Bi: 0.500 0.251 0.749

=====

Below is La5PrBi4 after structural relaxation, with properties calculated at the GGA-PBE level.

Computed properties:
crystal system = monoclinic

abc: 4.582 9.097 10.247
angles: 104.67 102.92 90.00
Element x y z (fractional)
La: 0.826 0.655 0.651
La: 0.837 0.174 0.673
La: 0.163 0.826 0.327
La: 0.500 0.500 0.000
La: 0.174 0.345 0.349
Pr: 0.500 0.000 0.000
Bi: 0.331 0.913 0.662
Bi: 0.993 0.745 0.986
Bi: 0.669 0.087 0.338
Bi: 0.007 0.255 0.014

=====

no.,uncorrected energy (hartree per atom)
1,-0.16259
2,-0.19250
3,-0.20423
4,-0.17309
5,-0.17672
6,-0.16518
7,-0.15430
8,-0.19834
9,-0.18567
10,-0.18762
11,-0.19196
12,-0.19340
13,-0.19968
14,-0.19013
15,-0.17003
16,-0.19406
17,-0.18587
18,-0.19586
19,-0.19316
20,-0.18716
21,-0.18054
22,-0.19758
23,-0.19600
24,-0.18908